Entry 1:
Below is a relaxed Na2ScCo crystal, with properties calculated at the PBE-GGA level.

Calculated volume = 82 Å³ per cell
ΔE_f = 0.86 eV/atom
SG = No. 225
Total moment = 0.0 μB per cell

abc: 4.8780 4.8780 4.8780
angles: 60.00 60.00 60.00
Element x y z (fractional)
Na1 0.2500 0.2500 0.2500
Na2 0.7500 0.7500 0.7500
Sc1 0.0000 0.0000 0.0000
Co1 0.5000 0.5000 0.5000

---

Entry 2:
Below is a relaxed NaSc3Co crystal, with properties calculated at the PBE-GGA level.

Calculated volume = 121 Å³ per cell
ΔE_f = 0.04 eV/atom
SG = No. 221
Total moment = 0.0 μB per cell

abc: 4.9505 4.9505 4.9505
angles: 90.00 90.00 90.00
Element x y z (fractional)
Na1 0.0000 0.0000 0.0000
Sc1 0.0000 0.5000 0.5000
Sc2 0.5000 0.0000 0.5000
Sc3 0.5000 0.5000 0.0000
Co1 0.5000 0.5000 0.5000

---

Entry 3:
Below is a relaxed NaSc3Co crystal, with properties calculated at the PBE-GGA level.

Calculated volume = 124 Å³ per cell
ΔE_f = 1.53 eV/atom
SG = No. 221
Total moment = 1.7 μB per cell

abc: 4.9921 4.9921 4.9921
angles: 90.00 90.00 90.00
Element x y z (fractional)
Na1 0.0000 0.0000 0.0000
Sc1 0.0000 0.0000 0.5000
Sc2 0.0000 0.5000 0.0000
Sc3 0.5000 0.0000 0.0000
Co1 0.5000 0.5000 0.5000

---

Entry 4:
Below is a relaxed NaScCo2 crystal, with properties calculated at the PBE-GGA level.

Calculated volume = 62 Å³ per cell
ΔE_f = 0.49 eV/atom
SG = No. 225
Total moment = 1.4 μB per cell

abc: 4.4524 4.4524 4.4524
angles: 60.00 60.00 60.00
Element x y z (fractional)
Na1 0.0000 0.0000 0.0000
Sc1 0.5000 0.5000 0.5000
Co1 0.2500 0.2500 0.2500
Co2 0.7500 0.7500 0.7500

---

Entry 5:
Below is a relaxed NaScCo2Sn crystal, with properties calculated at the PBE-GGA level.

Calculated volume = 117 Å³ per cell
ΔE_f = 0.89 eV/atom
SG = No. 123
Total moment = 2.1 μB per cell

abc: 4.6022 4.6022 5.5174
angles: 90.00 90.00 90.00
Element x y z (fractional)
Na1 0.0000 0.0000 0.0000
Sc1 0.5000 0.5000 0.5000
Co1 0.0000 0.5000 0.5000
Co2 0.5000 0.0000 0.5000
Sn1 0.5000 0.5000 0.0000

---

Entry 6:
Below is a relaxed NaScTiCo2 crystal, with properties calculated at the PBE-GGA level.

Calculated volume = 86 Å³ per cell
ΔE_f = 1.50 eV/atom
SG = No. 123
Total moment = 0.0 μB per cell

abc: 4.4130 4.4130 4.3950
angles: 90.00 90.00 90.00
Element x y z (fractional)
Na1 0.0000 0.0000 0.0000
Sc1 0.0000 0.0000 0.5000
Ti1 0.5000 0.5000 0.5000
Co1 0.0000 0.5000 0.0000
Co2 0.5000 0.0000 0.0000

---

Entry 7:
Below is a relaxed NaY2ScCo crystal, with properties calculated at the PBE-GGA level.

Calculated volume = 140 Å³ per cell
ΔE_f = 0.03 eV/atom
SG = No. 123
Total moment = 0.0 μB per cell

abc: 5.3332 5.3332 4.9230
angles: 90.00 90.00 90.00
Element x y z (fractional)
Na1 0.0000 0.0000 0.0000
Y1 0.0000 0.5000 0.5000
Y2 0.5000 0.0000 0.5000
Sc1 0.5000 0.5000 0.0000
Co1 0.5000 0.5000 0.5000

---

Entry 8:
Below is a relaxed NaYScCo2 crystal, with properties calculated at the PBE-GGA level.

Calculated volume = 117 Å³ per cell
ΔE_f = 1.02 eV/atom
SG = No. 123
Total moment = 1.7 μB per cell

abc: 4.6428 4.6428 5.4494
angles: 90.00 90.00 90.00
Element x y z (fractional)
Na1 0.0000 0.0000 0.0000
Y1 0.5000 0.5000 0.0000
Sc1 0.5000 0.5000 0.5000
Co1 0.0000 0.5000 0.5000
Co2 0.5000 0.0000 0.5000

---

Entry 9:
Below is a relaxed NaCoSe2 crystal, with properties calculated at the PBE-GGA level.

Formation energy without anion corrections = -36 meV per atom
Calculated volume = 72 Å³ per cell
SG = No. 225
Total moment = 2.1 μB per cell

abc: 4.6641 4.6641 4.6641
angles: 60.00 60.00 60.00
Element x y z (fractional)
Na1 0.0000 0.0000 0.0000
Co1 0.5000 0.5000 0.5000
Se1 0.2500 0.2500 0.2500
Se2 0.7500 0.7500 0.7500

---

Entry 10:
Below is a relaxed NaCoSe3 crystal, with properties calculated at the PBE-GGA level.

Formation energy without anion corrections = -82 meV per atom
Calculated volume = 111 Å³ per cell
SG = No. 221
Total moment = 1.8 μB per cell

abc: 4.8081 4.8081 4.8081
angles: 90.00 90.00 90.00
Element x y z (fractional)
Na1 0.0000 0.0000 0.0000
Co1 0.5000 0.5000 0.5000
Se1 0.0000 0.5000 0.5000
Se2 0.5000 0.0000 0.5000
Se3 0.5000 0.5000 0.0000

---

Entry 11:
Below is a relaxed Na2Co3Se6 crystal, with properties calculated at the PBE-GGA level.

Formation energy without anion corrections = -490 meV per atom
Calculated volume = 228 Å³ per cell
SG = No. 12
Total moment = 0.0 μB per cell

abc: 6.1238 6.1238 7.3168
angles: 98.06 98.06 120.03
Element x y z (fractional)
Na1 0.1662 0.8338 0.0000
Na2 0.8338 0.1662 0.0000
Co1 0.0000 0.0000 0.5000
Co2 0.3330 0.6670 0.5000
Co3 0.6670 0.3330 0.5000
Se1 0.0591 0.3930 0.6782
Se2 0.2722 0.2722 0.3191
Se3 0.3930 0.0591 0.6782
Se4 0.6070 0.9409 0.3218
Se5 0.7278 0.7278 0.6809
Se6 0.9409 0.6070 0.3218

---

Entry 12:
Below is a relaxed NaCo2Se crystal, with properties calculated at the PBE-GGA level.

Formation energy without anion corrections = 447 meV per atom
Calculated volume = 145 Å³ per cell
SG = No. 122
Total moment = 6.0 μB per cell

abc: 5.8410 5.8410 5.8410
angles: 102.44 102.44 124.70
Element x y z (fractional)
Na1 0.0000 0.0000 0.0000
Na2 0.7500 0.2500 0.5000
Co1 0.2103 0.1250 0.5853
Co2 0.3750 0.7897 0.9147
Co3 0.5397 0.6250 0.4147
Co4 0.8750 0.4603 0.0853
Se1 0.2500 0.7500 0.5000
Se2 0.5000 0.5000 0.0000

---

Entry 13:
Below is a relaxed NaCoSe2 crystal, with properties calculated at the PBE-GGA level.

Formation energy without anion corrections = -556 meV per atom
Calculated volume = 78 Å³ per cell
SG = No. 160
Total moment = 0.0 μB per cell

abc: 7.0611 7.0611 7.0611
angles: 29.94 29.94 29.94
Element x y z (fractional)
Na1 0.0000 0.0000 0.0000
Co1 0.1664 0.1664 0.1664
Se1 0.5590 0.5590 0.5590
Se2 0.7739 0.7739 0.7739

---

Entry 14:
Below is a relaxed NaCo2Se4 crystal, with properties calculated at the PBE-GGA level.

Formation energy without anion corrections = -454 meV per atom
Calculated volume = 150 Å³ per cell
SG = No. 12
Total moment = 0.0 μB per cell

abc: 7.8612 7.8612 6.0013
angles: 111.23 111.23 25.85
Element x y z (fractional)
Na1 0.0000 0.0000 0.0000
Co1 0.2525 0.2525 0.2593
Co2 0.7475 0.7475 0.7407
Se1 0.1582 0.1582 0.4968
Se2 0.3383 0.3383 0.9966
Se3 0.6617 0.6617 0.0034
Se4 0.8418 0.8418 0.5032

---

Entry 15:
Below is a relaxed NaCoSe3 crystal, with properties calculated at the PBE-GGA level.

Formation energy without anion corrections = 1135 meV per atom
Calculated volume = 131 Å³ per cell
SG = No. 221
Total moment = 2.4 μB per cell

abc: 5.0745 5.0745 5.0745
angles: 90.00 90.00 90.00
Element x y z (fractional)
Na1 0.0000 0.0000 0.0000
Co1 0.5000 0.5000 0.5000
Se1 0.0000 0.0000 0.5000
Se2 0.0000 0.5000 0.0000
Se3 0.5000 0.0000 0.0000

---

Entry 16:
Below is a relaxed NaCo5Se8 crystal, with properties calculated at the PBE-GGA level.

Formation energy without anion corrections = -353 meV per atom
Calculated volume = 256 Å³ per cell
SG = No. 8
Total moment = 0.0 μB per cell

abc: 9.2860 9.2860 8.1640
angles: 105.30 105.30 22.21
Element x y z (fractional)
Na1 0.0000 0.0000 0.0000
Co1 0.1556 0.1556 0.4817
Co2 0.2068 0.2068 0.8164
Co3 0.5045 0.5045 0.5044
Co4 0.7988 0.7988 0.1873
Co5 0.8414 0.8414 0.5257
Se1 0.0717 0.0717 0.6753
Se2 0.2613 0.2613 0.3543
Se3 0.3272 0.3272 0.0220
Se4 0.4156 0.4156 0.6789
Se5 0.5850 0.5850 0.3238
Se6 0.6788 0.6788 0.9867
Se7 0.7389 0.7389 0.6557
Se8 0.9292 0.9292 0.3584

---

Entry 17:
Below is a relaxed NaCoSe2 crystal, with properties calculated at the PBE-GGA level.

Formation energy without anion corrections = -453 meV per atom
Calculated volume = 178 Å³ per cell
SG = No. 122
Total moment = 0.0 μB per cell

abc: 6.1388 6.1388 6.1388
angles: 110.69 110.69 107.05
Element x y z (fractional)
Na1 0.0000 0.0000 0.0000
Na2 0.7500 0.2500 0.5000
Co1 0.2500 0.7500 0.5000
Co2 0.5000 0.5000 0.0000
Se1 0.2168 0.6250 0.0918
Se2 0.3750 0.4668 0.5918
Se3 0.5332 0.1250 0.9082
Se4 0.8750 0.7832 0.4082

---

Entry 18:
Below is a relaxed NaSrCo2Se crystal, with properties calculated at the PBE-GGA level.

Formation energy without anion corrections = 1474 meV per atom
Calculated volume = 136 Å³ per cell
SG = No. 123
Total moment = 2.7 μB per cell

abc: 4.8227 4.8227 5.8385
angles: 90.00 90.00 90.00
Element x y z (fractional)
Na1 0.0000 0.0000 0.0000
Sr1 0.0000 0.0000 0.5000
Co1 0.0000 0.5000 0.5000
Co2 0.5000 0.0000 0.5000
Se1 0.5000 0.5000 0.0000

---

Entry 19:
Below is a relaxed NaSr2CoSe crystal, with properties calculated at the PBE-GGA level.

Formation energy without anion corrections = -284 meV per atom
Calculated volume = 164 Å³ per cell
SG = No. 123
Total moment = 0.3 μB per cell

abc: 6.0845 6.0845 4.4282
angles: 90.00 90.00 90.00
Element x y z (fractional)
Na1 0.0000 0.0000 0.0000
Sr1 0.0000 0.5000 0.5000
Sr2 0.5000 0.0000 0.5000
Co1 0.5000 0.5000 0.0000
Se1 0.5000 0.5000 0.5000

---

Entry 20:
Below is a relaxed NaTaCoSe3 crystal, with properties calculated at the PBE-GGA level.

Formation energy without anion corrections = -747 meV per atom
Calculated volume = 252 Å³ per cell
SG = No. 11
Total moment = 2.0 μB per cell

abc: 7.9076 3.5937 9.5416
angles: 90.00 111.64 90.00
Element x y z (fractional)
Na1 0.2368 0.2500 0.2181
Na2 0.7632 0.7500 0.7819
Ta1 0.2091 0.7500 0.6815
Ta2 0.7909 0.2500 0.3185
Co1 0.4145 0.2500 0.8944
Co2 0.5855 0.7500 0.1056
Se1 0.0602 0.7500 0.3714
Se2 0.2559 0.7500 0.9588
Se3 0.4270 0.2500 0.6494
Se4 0.5730 0.7500 0.3506
Se5 0.7441 0.2500 0.0412
Se6 0.9398 0.2500 0.6286

---

Number 1: VASP energy -3.15 eV per atom. Number 2: VASP energy -5.45 eV per atom. Number 3: VASP energy -3.96 eV per atom. Number 4: VASP energy -4.97 eV per atom. Number 5: VASP energy -4.28 eV per atom. Number 6: VASP energy -4.45 eV per atom. Number 7: VASP energy -5.51 eV per atom. Number 8: VASP energy -4.64 eV per atom. Number 9: VASP energy -3.88 eV per atom. Number 10: VASP energy -3.86 eV per atom. Number 11: VASP energy -4.57 eV per atom. Number 12: VASP energy -4.31 eV per atom. Number 13: VASP energy -4.40 eV per atom. Number 14: VASP energy -4.66 eV per atom. Number 15: VASP energy -2.64 eV per atom. Number 16: VASP energy -4.98 eV per atom. Number 17: VASP energy -4.30 eV per atom. Number 18: VASP energy -2.67 eV per atom. Number 19: VASP energy -3.34 eV per atom. Number 20: VASP energy -5.87 eV per atom.